(1)
Below is crystalline Tb2Sm3Er5 at its relaxed geometry, with properties calculated at the PBE-GGA level.

Unit cell a=9.535 b=9.535 c=9.389 alpha=108.41 beta=108.41 gamma=112.15
Sites, in units of the cell vectors:
Tb 0.032 0.271 0.047
Tb 0.271 0.032 0.547
Tb 0.729 0.968 0.453
Tb 0.968 0.729 0.953
Sm 0.230 0.478 0.452
Sm 0.267 0.733 0.250
Sm 0.478 0.230 0.952
Sm 0.522 0.770 0.048
Sm 0.733 0.267 0.750
Sm 0.770 0.522 0.548
Er 0.028 0.972 0.750
Er 0.128 0.358 0.734
Er 0.228 0.772 0.750
Er 0.358 0.128 0.234
Er 0.475 0.525 0.250
Er 0.525 0.475 0.750
Er 0.642 0.872 0.766
Er 0.772 0.228 0.250
Er 0.872 0.642 0.266
Er 0.972 0.028 0.250

As for the crystal system: monoclinic. As for the space group: No. 15. Its formation energy is 196 meV per atom. As for the energy above the most stable polymorph in this dataset: 0.152 eV/atom. The total moment is 0.00 μB/f.u.

(2)
Below is crystalline Cu2Pt at its relaxed geometry, with properties calculated at the PBE-GGA level.

Unit cell a=5.422 b=5.422 c=5.782 alpha=103.59 beta=103.59 gamma=89.50
Sites, in units of the cell vectors:
Cu 0.000 0.000 0.000
Cu 0.000 0.482 0.998
Cu 0.173 0.158 0.671
Cu 0.518 0.000 0.002
Cu 0.518 0.482 0.000
Cu 0.678 0.158 0.667
Cu 0.842 0.322 0.333
Cu 0.842 0.827 0.329
Pt 0.175 0.661 0.680
Pt 0.338 0.322 0.322
Pt 0.339 0.825 0.320
Pt 0.678 0.662 0.678

As for the crystal system: monoclinic. As for the space group: No. 5. Its formation energy is -126 meV per atom. As for the energy above the most stable polymorph in this dataset: 0.020 eV/atom. The total moment is 0.00 μB/f.u.

(3)
Below is crystalline SrLiAgBi2 at its relaxed geometry, with properties calculated at the PBE-GGA level.

Unit cell a=4.727 b=4.727 c=12.899 alpha=90.00 beta=90.00 gamma=90.00
Sites, in units of the cell vectors:
Sr 0.000 0.000 0.000
Sr 0.500 0.500 0.500
Li 0.000 0.500 0.250
Li 0.500 0.000 0.750
Ag 0.000 0.500 0.750
Ag 0.500 0.000 0.250
Bi 0.000 0.000 0.379
Bi 0.000 0.000 0.621
Bi 0.500 0.500 0.121
Bi 0.500 0.500 0.879

As for the crystal system: tetragonal. As for the space group: No. 119. Its formation energy is -460 meV per atom. The total moment is 0.00 μB/f.u.

Question: What is the total moment in the first record?
Answer: 0.00 μB/f.u.

What did the first record say?
Below is crystalline Tb2Sm3Er5 at its relaxed geometry, with properties calculated at the PBE-GGA level.

Unit cell a=9.535 b=9.535 c=9.389 alpha=108.41 beta=108.41 gamma=112.15
Sites, in units of the cell vectors:
Tb 0.032 0.271 0.047
Tb 0.271 0.032 0.547
Tb 0.729 0.968 0.453
Tb 0.968 0.729 0.953
Sm 0.230 0.478 0.452
Sm 0.267 0.733 0.250
Sm 0.478 0.230 0.952
Sm 0.522 0.770 0.048
Sm 0.733 0.267 0.750
Sm 0.770 0.522 0.548
Er 0.028 0.972 0.750
Er 0.128 0.358 0.734
Er 0.228 0.772 0.750
Er 0.358 0.128 0.234
Er 0.475 0.525 0.250
Er 0.525 0.475 0.750
Er 0.642 0.872 0.766
Er 0.772 0.228 0.250
Er 0.872 0.642 0.266
Er 0.972 0.028 0.250

As for the crystal system: monoclinic. As for the space group: No. 15. Its formation energy is 196 meV per atom. As for the energy above the most stable polymorph in this dataset: 0.152 eV/atom. The total moment is 0.00 μB/f.u.

Repeat the first record exactly.
Below is crystalline Tb2Sm3Er5 at its relaxed geometry, with properties calculated at the PBE-GGA level.

Unit cell a=9.535 b=9.535 c=9.389 alpha=108.41 beta=108.41 gamma=112.15
Sites, in units of the cell vectors:
Tb 0.032 0.271 0.047
Tb 0.271 0.032 0.547
Tb 0.729 0.968 0.453
Tb 0.968 0.729 0.953
Sm 0.230 0.478 0.452
Sm 0.267 0.733 0.250
Sm 0.478 0.230 0.952
Sm 0.522 0.770 0.048
Sm 0.733 0.267 0.750
Sm 0.770 0.522 0.548
Er 0.028 0.972 0.750
Er 0.128 0.358 0.734
Er 0.228 0.772 0.750
Er 0.358 0.128 0.234
Er 0.475 0.525 0.250
Er 0.525 0.475 0.750
Er 0.642 0.872 0.766
Er 0.772 0.228 0.250
Er 0.872 0.642 0.266
Er 0.972 0.028 0.250

As for the crystal system: monoclinic. As for the space group: No. 15. Its formation energy is 196 meV per atom. As for the energy above the most stable polymorph in this dataset: 0.152 eV/atom. The total moment is 0.00 μB/f.u.

Question: total moment of number 1 (Tb2Sm3Er5)?
Answer: 0.00 μB/f.u.